Record 1
The following is a DFT calculation (GGA-PBE) of a geometry-optimized NaAlSnAu3 structure.

```
NaAlSnAu3
1.0
4.453 -6.649 0.000
4.453 6.649 0.000
0.000 0.000 5.611
Na Al Sn Au
2 2 2 6
direct
0.189 0.811 0.750
0.811 0.189 0.250
0.052 0.948 0.250
0.948 0.052 0.750
0.444 0.556 0.250
0.556 0.444 0.750
0.231 0.231 0.000
0.231 0.231 0.500
0.240 0.760 0.250
0.760 0.240 0.750
0.769 0.769 0.000
0.769 0.769 0.500
```

Calculated formation energy in meV per atom: -210

Record 2
The following is a DFT calculation (GGA-PBE) of a geometry-optimized K2Na17 structure.

```
K2Na17
1.0
6.146 3.548 6.066
-6.146 3.548 6.066
0.000 -7.097 6.066
K Na
2 17
direct
0.162 0.162 0.162
0.838 0.838 0.838
0.000 0.500 0.500
0.150 0.150 0.650
0.150 0.650 0.150
0.204 0.500 0.796
0.204 0.796 0.500
0.350 0.850 0.850
0.403 0.403 0.403
0.500 0.000 0.500
0.500 0.204 0.796
0.500 0.500 0.000
0.500 0.796 0.204
0.597 0.597 0.597
0.650 0.150 0.150
0.796 0.204 0.500
0.796 0.500 0.204
0.850 0.350 0.850
0.850 0.850 0.350
```

Calculated formation energy in meV per atom: 23

Record 3
The following is a DFT calculation (GGA-PBE) of a geometry-optimized LaTcTe2 structure.

```
LaTcTe2
1.0
3.990 0.000 0.000
0.000 3.990 0.000
0.000 0.000 6.684
La Tc Te
1 1 2
direct
0.000 0.000 0.000
0.500 0.500 0.353
0.000 0.000 0.466
0.500 0.500 0.795
```

Formation energy from raw total energies in eV/atom: -0.309
Excess energy over the best structure of this formula in the dataset in eV/atom: 0.485

Record 4
The following is a DFT calculation (GGA-PBE) of a geometry-optimized MgVH2 structure.

```
MgVH2
1.0
1.465 0.846 5.195
-1.465 0.846 5.195
0.000 -1.692 5.195
Mg V H
1 1 2
direct
0.000 0.000 0.000
0.819 0.819 0.819
0.206 0.206 0.206
0.441 0.441 0.441
```

Excess energy over the best structure of this formula in the dataset in eV/atom: 0.000

Record 5
The following is a DFT calculation (GGA-PBE) of a geometry-optimized SrThIn4 structure.

```
SrThIn4
1.0
0.000 4.358 4.358
4.358 0.000 4.358
4.358 4.358 0.000
Sr Th In
1 1 4
direct
0.000 0.000 0.000
0.750 0.750 0.750
0.375 0.375 0.375
0.375 0.375 0.874
0.375 0.874 0.375
0.874 0.375 0.375
```

Calculated formation energy in meV per atom: -248

Record 6
The following is a DFT calculation (GGA-PBE) of a geometry-optimized CrMoHRh2 structure.

```
CrMoHRh2
1.0
3.846 0.000 0.000
0.000 3.846 0.000
0.000 0.000 3.943
Cr Mo H Rh
1 1 1 2
direct
0.000 0.000 0.000
0.500 0.500 0.000
0.000 0.000 0.500
0.000 0.500 0.500
0.500 0.000 0.500
```

Excess energy over the best structure of this formula in the dataset in eV/atom: 0.000

Record 7
The following is a DFT calculation (GGA-PBE) of a geometry-optimized CsLiIn2Pt structure.

```
CsLiIn2Pt
1.0
5.246 0.000 0.000
0.000 5.246 0.000
0.000 0.000 5.517
Cs Li In Pt
1 1 2 1
direct
0.000 0.000 0.000
0.500 0.500 0.000
0.000 0.500 0.500
0.500 0.000 0.500
0.500 0.500 0.500
```

Calculated formation energy in meV per atom: -268

Record 8
The following is a DFT calculation (GGA-PBE) of a geometry-optimized Nd2SmDy6Ho3 structure.

```
Nd2SmDy6Ho3
1.0
3.091 -5.351 0.000
3.091 5.351 0.000
-2.051 0.000 11.631
Nd Sm Dy Ho
2 1 6 3
direct
0.167 0.833 0.000
0.833 0.167 0.000
0.500 0.500 0.000
0.082 0.415 0.746
0.252 0.252 0.254
0.415 0.082 0.746
0.585 0.918 0.254
0.748 0.748 0.746
0.918 0.585 0.254
0.000 0.000 0.500
0.333 0.667 0.500
0.667 0.333 0.500
```

Calculated formation energy in meV per atom: 18

Uncorrected energy for the records above, in order: -3.36; -1.27; -5.70; -4.35; -3.59; -7.79; -3.13; -4.62 eV/atom